No. 1
VASP calculation (PBE-GGA) on a relaxed structure of B3C.

a = 5.8253 Å, b = 5.8253 Å, c = 5.7561 Å
α = 105.82°, β = 105.82°, γ = 27.11°
Fractional positions:
B 0.0000 0.0000 0.0000
B 0.0010 0.0010 0.5831
B 0.1794 0.1794 0.9328
B 0.3196 0.3196 0.2102
B 0.3426 0.3426 0.6585
B 0.5402 0.5402 0.4288
B 0.6164 0.6164 0.0585
B 0.6179 0.6179 0.7480
B 0.9449 0.9449 0.2590
C 0.2435 0.2435 0.4140
C 0.6685 0.6685 0.3537
C 0.9078 0.9078 0.7426

Summary:
energy	-0.251	hartree per atom
spin magnetization	0.00	μB/f.u.
energy above the most stable polymorph in this dataset	1.00	eV/f.u.



No. 2
VASP calculation (PBE-GGA) on a relaxed structure of BC.

a = 2.6894 Å, b = 2.6894 Å, c = 15.5874 Å
α = 90.00°, β = 90.00°, γ = 120.00°
Fractional positions:
B 0.0000 0.0000 0.0000
B 0.0000 0.0000 0.2212
B 0.3333 0.6667 0.3291
B 0.3333 0.6667 0.6445
B 0.3333 0.6667 0.8674
B 0.6667 0.3333 0.3919
C 0.0000 0.0000 0.5263
C 0.0000 0.0000 0.6325
C 0.3333 0.6667 0.2279
C 0.6667 0.3333 0.4933
C 0.6667 0.3333 0.8768
C 0.6667 0.3333 0.9901

Summary:
energy	-0.279	hartree per atom
spin magnetization	0.00	μB/f.u.
energy above the most stable polymorph in this dataset	0.40	eV/f.u.



No. 3
VASP calculation (PBE-GGA) on a relaxed structure of B7C5.

a = 6.5115 Å, b = 6.5115 Å, c = 5.4565 Å
α = 103.60°, β = 103.60°, γ = 23.41°
Fractional positions:
B 0.0000 0.0000 0.0000
B 0.0004 0.0004 0.4780
B 0.2521 0.2521 0.2764
B 0.3821 0.3821 0.7304
B 0.5909 0.5909 0.1437
B 0.6089 0.6089 0.5065
B 0.7181 0.7181 0.7583
C 0.2780 0.2780 0.8585
C 0.3512 0.3512 0.1361
C 0.7005 0.7005 0.3265
C 0.9187 0.9187 0.2001
C 0.9407 0.9407 0.7089

Summary:
energy	-0.271	hartree per atom
spin magnetization	0.00	μB/f.u.
energy above the most stable polymorph in this dataset	2.47	eV/f.u.



No. 4
VASP calculation (PBE-GGA) on a relaxed structure of BC.

a = 4.4907 Å, b = 4.4907 Å, c = 5.5896 Å
α = 123.10°, β = 123.10°, γ = 44.72°
Fractional positions:
B 0.0000 0.0000 0.0000
B 0.0089 0.4568 0.1018
B 0.5114 0.3887 0.2203
B 0.5432 0.9911 0.8982
B 0.6113 0.4886 0.7797
C 0.1401 0.5939 0.6824
C 0.2177 0.1529 0.5909
C 0.4061 0.8599 0.3176
C 0.8010 0.1989 0.5000
C 0.8471 0.7823 0.4091

Summary:
energy	-0.278	hartree per atom
spin magnetization	0.00	μB/f.u.
energy above the most stable polymorph in this dataset	0.46	eV/f.u.



No. 5
VASP calculation (PBE-GGA) on a relaxed structure of BC.

a = 2.6330 Å, b = 2.6330 Å, c = 14.8684 Å
α = 90.00°, β = 90.00°, γ = 120.00°
Fractional positions:
B 0.0000 0.0000 0.0000
B 0.0000 0.0000 0.2368
B 0.0000 0.0000 0.6573
B 0.3333 0.6667 0.7278
B 0.6667 0.3333 0.5070
B 0.6667 0.3333 0.8775
C 0.0000 0.0000 0.5535
C 0.3333 0.6667 0.2517
C 0.3333 0.6667 0.3642
C 0.3333 0.6667 0.8316
C 0.6667 0.3333 0.3979
C 0.6667 0.3333 0.9896

Summary:
energy	-0.280	hartree per atom
spin magnetization	0.00	μB/f.u.
energy above the most stable polymorph in this dataset	0.39	eV/f.u.



No. 6
VASP calculation (PBE-GGA) on a relaxed structure of B11C.

a = 5.5375 Å, b = 5.5375 Å, c = 3.2208 Å
α = 90.00°, β = 90.00°, γ = 124.44°
Fractional positions:
B 0.0000 0.0000 0.0000
B 0.0000 0.5000 0.2638
B 0.1610 0.8390 0.5000
B 0.1851 0.3492 0.7524
B 0.3159 0.6841 0.0000
B 0.3492 0.1851 0.2476
B 0.5000 0.0000 0.7362
B 0.6508 0.8149 0.2476
B 0.6841 0.3159 0.0000
B 0.8149 0.6508 0.7524
B 0.8390 0.1610 0.5000
C 0.5000 0.5000 0.5000

Summary:
energy	-0.237	hartree per atom
spin magnetization	0.00	μB/f.u.
energy above the most stable polymorph in this dataset	2.04	eV/f.u.



No. 7
VASP calculation (PBE-GGA) on a relaxed structure of B3C.

a = 6.4124 Å, b = 6.4124 Å, c = 4.8685 Å
α = 102.72°, β = 102.72°, γ = 24.70°
Fractional positions:
B 0.0000 0.0000 0.0000
B 0.0945 0.0945 0.7123
B 0.3667 0.3667 0.4267
B 0.5097 0.5097 0.4733
B 0.6263 0.6263 0.9758
B 0.6736 0.6736 0.3422
B 0.8044 0.8044 0.1782
B 0.8502 0.8502 0.8567
B 0.9488 0.9488 0.6069
C 0.1903 0.1903 0.5310
C 0.3047 0.3047 0.6900
C 0.5377 0.5377 0.1697

Summary:
energy	-0.253	hartree per atom
spin magnetization	0.00	μB/f.u.
energy above the most stable polymorph in this dataset	0.71	eV/f.u.



No. 8
VASP calculation (PBE-GGA) on a relaxed structure of BC.

a = 5.9945 Å, b = 5.9945 Å, c = 5.6767 Å
α = 104.22°, β = 104.22°, γ = 25.03°
Fractional positions:
B 0.0000 0.0000 0.0000
B 0.0062 0.0062 0.4888
B 0.3303 0.3303 0.1422
B 0.3767 0.3767 0.4641
B 0.6312 0.6312 0.7590
B 0.6706 0.6706 0.3598
C 0.0653 0.0653 0.7776
C 0.0767 0.0767 0.2809
C 0.3189 0.3189 0.6941
C 0.4018 0.4018 0.9455
C 0.7423 0.7423 0.6609
C 0.7906 0.7906 0.2578

Summary:
energy	-0.278	hartree per atom
spin magnetization	0.00	μB/f.u.
energy above the most stable polymorph in this dataset	0.47	eV/f.u.



No. 9
VASP calculation (PBE-GGA) on a relaxed structure of B7C5.

a = 4.7462 Å, b = 4.7462 Å, c = 8.1165 Å
α = 109.19°, β = 109.19°, γ = 33.10°
Fractional positions:
B 0.0000 0.0000 0.0000
B 0.2383 0.2383 0.7622
B 0.3191 0.3191 0.1402
B 0.5169 0.5169 0.8380
B 0.6061 0.6061 0.2359
B 0.8813 0.8813 0.5825
B 0.9528 0.9528 0.4032
C 0.1511 0.1511 0.1714
C 0.3598 0.3598 0.6614
C 0.4767 0.4767 0.3274
C 0.6936 0.6936 0.8365
C 0.8273 0.8273 0.0124

Summary:
energy	-0.273	hartree per atom
spin magnetization	0.00	μB/f.u.
energy above the most stable polymorph in this dataset	1.59	eV/f.u.



No. 10
VASP calculation (PBE-GGA) on a relaxed structure of B7C5.

a = 2.4056 Å, b = 2.4576 Å, c = 13.6269 Å
α = 90.00°, β = 90.00°, γ = 90.00°
Fractional positions:
B 0.0000 0.0000 0.0000
B 0.0000 0.0000 0.2924
B 0.0000 0.5000 0.3877
B 0.0000 0.5000 0.7088
B 0.5000 0.0000 0.9015
B 0.5000 0.5000 0.4848
B 0.5000 0.5000 0.8076
C 0.0000 0.0000 0.6283
C 0.0000 0.5000 0.0780
C 0.5000 0.0000 0.2103
C 0.5000 0.0000 0.5659
C 0.5000 0.5000 0.1447

Summary:
energy	-0.271	hartree per atom
spin magnetization	0.00	μB/f.u.
energy above the most stable polymorph in this dataset	2.49	eV/f.u.



No. 11
VASP calculation (PBE-GGA) on a relaxed structure of BC.

a = 6.3009 Å, b = 6.3009 Å, c = 5.1705 Å
α = 98.72°, β = 98.72°, γ = 24.40°
Fractional positions:
B 0.0000 0.0000 0.0000
B 0.0022 0.0022 0.3975
B 0.1499 0.1499 0.9470
B 0.3535 0.3535 0.6456
B 0.3608 0.3608 0.1621
B 0.6896 0.6896 0.3328
C 0.1077 0.1077 0.2435
C 0.4403 0.4403 0.9202
C 0.4441 0.4441 0.4489
C 0.7049 0.7049 0.8544
C 0.7624 0.7624 0.6230
C 0.7780 0.7780 0.1242

Summary:
energy	-0.279	hartree per atom
spin magnetization	0.00	μB/f.u.
energy above the most stable polymorph in this dataset	0.42	eV/f.u.



No. 12
VASP calculation (PBE-GGA) on a relaxed structure of B3C5.

a = 4.6127 Å, b = 4.6127 Å, c = 4.7451 Å
α = 97.01°, β = 97.01°, γ = 31.05°
Fractional positions:
B 0.0000 0.0000 0.0000
B 0.5045 0.5045 0.5076
B 0.7526 0.7526 0.2586
C 0.1812 0.1812 0.0313
C 0.2477 0.2477 0.7446
C 0.4211 0.4211 0.7901
C 0.6898 0.6898 0.5680
C 0.9330 0.9330 0.2968

Summary:
energy	-0.289	hartree per atom
spin magnetization	0.00	μB/f.u.
energy above the most stable polymorph in this dataset	0.94	eV/f.u.



Fermi-level density of states? In order: 0.0321; 0.1381; 0.2300; 0.2117; 0.1709; 0.1928; 0.1000; 0.1555; 0.2244; 0.1472; 0.1346; 0.1758 states/eV/atom.
Energy relative to the elements? In order: 0.49; 0.35; 0.37; 0.38; 0.34; 0.44; 0.42; 0.38; 0.30; 0.37; 0.36; 0.39 eV/atom.